The following is a GGA-PBE calculation of crystalline NaInTeSe at its relaxed geometry, from Alexandria via LeMat-Bulk.

V = 131.1 Å³ per cell
Total moment = 0.0 Bohr magnetons per cell
Crystal system = monoclinic
Fermi-level density of states = 1.50 states/eV per cell
Energy relative to the elements, uncorrected = -0.505 eV per atom

Unit cell a=4.3996 b=4.3996 c=8.2325 alpha=89.68 beta=105.81 gamma=120.04
With the nearest neighbours (Å) after each atom.
Element x y z (fractional)
Se: 0.1639 0.9074 0.0713  3 In 2.81
Te: 0.5003 0.0750 0.5753  1 In 2.68
In: 0.7268 0.1909 0.9177  1 Te 2.68, 3 Se 2.81
Na: 0.6947 0.6744 0.3691  3 Te 3.01